The following is a PBE calculation of a relaxed structure of Ce2Pu3N8, from Alexandria via LeMat-Bulk.

- N(E_F) (states/eV per atom) = 1.461
- energy relative to the elements, uncorrected (eV/f.u.) = -12.95
- SG = P2/m

Geometry as POSCAR:
```
Ce2Pu3N8
1.0
6.427 0.000 0.000
0.000 3.637 0.000
-2.833 0.000 8.556
Ce Pu N
2 3 8
Direct
0.250 0.000 0.188
0.750 0.000 0.812
0.000 0.000 0.500
0.259 0.500 0.834
0.741 0.500 0.166
0.059 0.500 0.347
0.131 0.000 0.916
0.304 0.000 0.685
0.390 0.500 0.107
0.610 0.500 0.893
0.696 0.000 0.315
0.869 0.000 0.084
0.941 0.500 0.653
```